The following is a PBE calculation of crystalline ScPd2C at its relaxed geometry, from the Alexandria database.

Results
As for the total moment: 0.00 Bohr magnetons per cell. The density of states at the Fermi level is 7.231 states/eV/cell. Its crystal system is tetragonal. As for the space group: I-42d (122). The formation energy comes out at 0.283 eV/atom. Its total energy is -0.4559 Ry/atom.

abc: 5.1300 5.1300 6.6310
angles: 67.24 67.24 90.00
Positions (direct):
C: 0.5000 0.5000 0.0000
C: 0.2500 0.7500 0.5000
Pd: 0.8750 0.7591 0.7500
Pd: 0.3750 0.4909 0.7500
Pd: 0.2409 0.6250 0.2500
Pd: 0.5091 0.1250 0.2500
Sc: 0.7500 0.2500 0.5000
Sc: 0.0000 0.0000 0.0000

=====

The following is a PBE calculation of crystalline Sc3PdC at its relaxed geometry, from the Alexandria database.

Results
As for the total moment: 0.00 Bohr magnetons per cell. The density of states at the Fermi level is 4.798 states/eV/cell. Its crystal system is cubic. As for the space group: Pm-3m (221). The formation energy comes out at -0.553 eV/atom. The value obtained for the distance to the lowest polymorph of the same formula is 1.370 kcal/mol of atoms. Its total energy is -0.5318 Ry/atom.

abc: 4.4761 4.4761 4.4761
angles: 90.00 90.00 90.00
Positions (direct):
Sc: 0.5000 0.0000 0.0000
Sc: 0.0000 0.0000 0.5000
Sc: 0.0000 0.5000 0.0000
C: 0.0000 0.0000 0.0000
Pd: 0.5000 0.5000 0.5000

=====

The following is a PBE calculation of crystalline Sc4Pd2C at its relaxed geometry, from the Alexandria database.

Results
As for the total moment: 0.00 Bohr magnetons per cell. The density of states at the Fermi level is 4.076 states/eV/cell. Its crystal system is tetragonal. As for the space group: I4/mmm (139). The formation energy comes out at -0.568 eV/atom. Its total energy is -0.5136 Ry/atom.

abc: 4.4119 4.4119 7.5364
angles: 107.02 107.02 90.00
Positions (direct):
Pd: 0.3607 0.3607 0.7215
Pd: 0.6393 0.6393 0.2785
C: 0.0000 0.0000 0.0000
Sc: 0.0000 0.5000 0.0000
Sc: 0.5000 0.0000 0.0000
Sc: 0.8328 0.8328 0.6656
Sc: 0.1672 0.1672 0.3344

=====

The following is a PBE calculation of crystalline Sc4PdC2 at its relaxed geometry, from the Alexandria database.

Results
As for the total moment: 2.17 Bohr magnetons per cell. The density of states at the Fermi level is 10.876 states/eV/cell. Its crystal system is orthorhombic. As for the space group: Cmcm (63). The formation energy comes out at -0.529 eV/atom. Its total energy is -0.5530 Ry/atom.

abc: 3.4151 5.8935 11.8898
angles: 90.00 90.00 106.84
Positions (direct):
Sc: 0.7622 0.5245 0.1038
Sc: 0.7622 0.5245 0.3962
Sc: 0.2378 0.4755 0.6038
Sc: 0.2378 0.4755 0.8962
Sc: 0.9281 0.8561 0.7500
Sc: 0.5000 0.0000 0.0000
Sc: 0.0719 0.1439 0.2500
Sc: 0.5000 0.0000 0.5000
Pd: 0.3850 0.7700 0.2500
Pd: 0.6150 0.2300 0.7500
C: 0.8661 0.7321 0.9380
C: 0.8661 0.7321 0.5620
C: 0.1339 0.2679 0.0620
C: 0.1339 0.2679 0.4380

=====

The following is a PBE calculation of crystalline ScPdC at its relaxed geometry, from the Alexandria database.

Results
As for the total moment: 0.00 Bohr magnetons per cell. The density of states at the Fermi level is 2.712 states/eV/cell. Its crystal system is monoclinic. As for the space group: C2/m (12). The formation energy comes out at -0.391 eV/atom. Its total energy is -0.5371 Ry/atom.

abc: 3.3567 4.3480 6.6055
angles: 100.98 90.00 112.71
Positions (direct):
Sc: 0.1221 0.2442 0.8199
Sc: 0.8779 0.7558 0.1801
Pd: 0.6275 0.2550 0.3967
Pd: 0.3725 0.7450 0.6033
C: 0.4191 0.8383 0.9384
C: 0.5809 0.1617 0.0616

=====

The following is a PBE calculation of crystalline ScPdC3 at its relaxed geometry, from the Alexandria database.

Results
As for the total moment: 0.00 Bohr magnetons per cell. The density of states at the Fermi level is 8.066 states/eV/cell. Its crystal system is cubic. As for the space group: Pm-3m (221). The formation energy comes out at 1.961 eV/atom. The value obtained for the distance to the lowest polymorph of the same formula is 0.000 kcal/mol of atoms. Its total energy is -0.4320 Ry/atom.

abc: 4.0227 4.0227 4.0227
angles: 90.00 90.00 90.00
Positions (direct):
C: 0.5000 0.0000 0.0000
C: 0.0000 0.5000 0.0000
C: 0.0000 0.0000 0.5000
Sc: 0.5000 0.5000 0.5000
Pd: 0.0000 0.0000 0.0000

=====

The following is a PBE calculation of crystalline Sc2TcPdC at its relaxed geometry, from the Alexandria database.

Results
As for the total moment: 0.00 Bohr magnetons per cell. The density of states at the Fermi level is 4.357 states/eV/cell. Its crystal system is tetragonal. As for the space group: P4/mmm (123). The formation energy comes out at -0.474 eV/atom. Its total energy is -0.5853 Ry/atom.

abc: 4.5411 4.5411 3.9185
angles: 90.00 90.00 90.00
Positions (direct):
Sc: 0.0000 0.5000 0.0000
Sc: 0.5000 0.0000 0.0000
Tc: 0.0000 0.0000 0.5000
C: 0.0000 0.0000 0.0000
Pd: 0.5000 0.5000 0.5000

=====

The following is a PBE calculation of crystalline ScTlPdC2 at its relaxed geometry, from the Alexandria database.

Results
As for the total moment: 0.20 Bohr magnetons per cell. The density of states at the Fermi level is 4.170 states/eV/cell. Its crystal system is tetragonal. As for the space group: P4/mmm (123). The formation energy comes out at 1.510 eV/atom. Its total energy is -0.3643 Ry/atom.

abc: 4.1162 5.1905 4.1162
angles: 90.00 90.00 90.00
Positions (direct):
C: 0.5000 0.0000 0.0000
C: 0.0000 0.0000 0.5000
Tl: 0.5000 0.5000 0.5000
Pd: 0.0000 0.0000 0.0000
Sc: 0.0000 0.5000 0.0000